Entry 1:
First-principles (GGA-PBE) data for Zr3Se after structural relaxation, as listed in Alexandria via LeMat-Bulk.

```
data_Zr3Se
_cell_length_a 9.0274
_cell_length_b 9.0274
_cell_length_c 9.0274
_cell_angle_alpha 21.88
_cell_angle_beta 21.88
_cell_angle_gamma 21.88
_space_group_name_H-M_alt 'P 1'
_space_group_IT_number 1
loop_
_space_group_symop_operation_xyz
'x,y,z'
loop_
_atom_site_label
_atom_site_type_symbol
_atom_site_fract_x
_atom_site_fract_y
_atom_site_fract_z
Zr1 Zr 0.0000 0.0000 0.0000
Zr2 Zr 0.2398 0.2398 0.2398
Zr3 Zr 0.7602 0.7602 0.7602
Se1 Se 0.5000 0.5000 0.5000
```

Computed properties:
Crystal system ... trigonal
DFT total energy ... -31.29 eV/f.u.
Formation energy from raw total energies ... -0.541 eV/atom
Symmetry ... R-3m



Entry 2:
First-principles (GGA-PBE) data for Zr3Se after structural relaxation, as listed in Alexandria via LeMat-Bulk.

```
data_Zr3Se
_cell_length_a 10.9680
_cell_length_b 10.9680
_cell_length_c 5.5165
_cell_angle_alpha 90.00
_cell_angle_beta 90.00
_cell_angle_gamma 90.00
_space_group_name_H-M_alt 'P 1'
_space_group_IT_number 1
loop_
_space_group_symop_operation_xyz
'x,y,z'
loop_
_atom_site_label
_atom_site_type_symbol
_atom_site_fract_x
_atom_site_fract_y
_atom_site_fract_z
Zr1 Zr 0.0354 0.5672 0.2345
Zr2 Zr 0.0672 0.9646 0.7345
Zr3 Zr 0.1090 0.2251 0.0335
Zr4 Zr 0.1472 0.6642 0.7052
Zr5 Zr 0.1642 0.8528 0.2052
Zr6 Zr 0.2251 0.3910 0.4665
Zr7 Zr 0.2749 0.1090 0.4665
Zr8 Zr 0.3358 0.6472 0.2052
Zr9 Zr 0.3528 0.8358 0.7052
Zr10 Zr 0.3910 0.2749 0.0335
Zr11 Zr 0.4328 0.5354 0.7345
Zr12 Zr 0.4646 0.9328 0.2345
Zr13 Zr 0.5354 0.0672 0.7655
Zr14 Zr 0.5672 0.4646 0.2655
Zr15 Zr 0.6090 0.7251 0.9665
Zr16 Zr 0.6472 0.1642 0.2948
Zr17 Zr 0.6642 0.3528 0.7948
Zr18 Zr 0.7251 0.8910 0.5335
Zr19 Zr 0.7749 0.6090 0.5335
Zr20 Zr 0.8358 0.1472 0.7948
Zr21 Zr 0.8528 0.3358 0.2948
Zr22 Zr 0.8910 0.7749 0.9665
Zr23 Zr 0.9328 0.0354 0.2655
Zr24 Zr 0.9646 0.4328 0.7655
Se1 Se 0.0435 0.2132 0.5382
Se2 Se 0.2132 0.4565 0.9618
Se3 Se 0.2868 0.0435 0.9618
Se4 Se 0.4565 0.2868 0.5382
Se5 Se 0.5435 0.7132 0.4618
Se6 Se 0.7132 0.9565 0.0382
Se7 Se 0.7868 0.5435 0.0382
Se8 Se 0.9565 0.7868 0.4618
```

Computed properties:
Crystal system ... tetragonal
DFT total energy ... -31.93 eV/f.u.
Formation energy from raw total energies ... -0.700 eV/atom
Symmetry ... P4_2/n



Entry 3:
First-principles (GGA-PBE) data for ZrSe after structural relaxation, as listed in Alexandria via LeMat-Bulk.

```
data_ZrSe
_cell_length_a 4.2785
_cell_length_b 4.2785
_cell_length_c 4.2785
_cell_angle_alpha 60.00
_cell_angle_beta 60.00
_cell_angle_gamma 60.00
_space_group_name_H-M_alt 'P 1'
_space_group_IT_number 1
loop_
_space_group_symop_operation_xyz
'x,y,z'
loop_
_atom_site_label
_atom_site_type_symbol
_atom_site_fract_x
_atom_site_fract_y
_atom_site_fract_z
Zr1 Zr 0.0000 0.0000 0.0000
Se1 Se 0.2500 0.2500 0.2500
```

Computed properties:
Crystal system ... cubic
DFT total energy ... -13.23 eV/f.u.
Formation energy from raw total energies ... -0.600 eV/atom
Symmetry ... F-43m



Entry 4:
First-principles (GGA-PBE) data for ZrSe2 after structural relaxation, as listed in Alexandria via LeMat-Bulk.

```
data_ZrSe2
_cell_length_a 5.1860
_cell_length_b 5.1860
_cell_length_c 7.8750
_cell_angle_alpha 99.32
_cell_angle_beta 99.32
_cell_angle_gamma 41.58
_space_group_name_H-M_alt 'P 1'
_space_group_IT_number 1
loop_
_space_group_symop_operation_xyz
'x,y,z'
loop_
_atom_site_label
_atom_site_type_symbol
_atom_site_fract_x
_atom_site_fract_y
_atom_site_fract_z
Zr1 Zr 0.0000 0.0000 0.0000
Zr2 Zr 0.2426 0.2426 0.6909
Se1 Se 0.2958 0.2958 0.0351
Se2 Se 0.5331 0.5331 0.7403
Se3 Se 0.5581 0.5581 0.2651
Se4 Se 0.7896 0.7896 0.4525
```

Computed properties:
Crystal system ... monoclinic
DFT total energy ... -18.84 eV/f.u.
Formation energy from raw total energies ... -1.106 eV/atom
Symmetry ... Cm



Calculated M_tot in order - 0.0000, 0.0000, 0.0001, 0.0000 μB/atom
Calculated DOS(E_F) in order - 1.006, 0.715, 1.158, 0.133 states/eV per atom